Compound: In2IOF
Source: Alexandria via LeMat-Bulk
Functional: PBE
Structure: optimized geometry

total moment = 0.00 μB/f.u.
formation energy (no corrections) = -2.57 eV per formula unit
uncorrected energy = -3.286 eV/atom

Unit cell a=5.441 b=5.441 c=4.373 alpha=90.00 beta=90.00 gamma=90.00
Fractional coordinates of all 5 atoms:
In 0.000 0.500 0.000
In 0.500 0.000 0.000
I 0.000 0.000 0.500
O 0.000 0.000 0.000
F 0.500 0.500 0.500


Compound: MnSi2Br8
Source: Alexandria via LeMat-Bulk
Functional: PBE
Structure: optimized geometry

total moment = 5.00 μB/f.u.
formation energy (no corrections) = -5.79 eV per formula unit
uncorrected energy = -3.563 eV/atom

Unit cell a=7.670 b=7.670 c=6.972 alpha=100.17 beta=100.17 gamma=94.62
Fractional coordinates of all 11 atoms:
Mn 0.000 0.000 0.000
Si 0.124 0.124 0.605
Si 0.876 0.876 0.395
Br 0.085 0.741 0.216
Br 0.208 0.208 0.301
Br 0.259 0.915 0.784
Br 0.349 0.349 0.772
Br 0.651 0.651 0.228
Br 0.741 0.085 0.216
Br 0.792 0.792 0.699
Br 0.915 0.259 0.784